[1]
DFT (PBE-GGA) results for a geometry-optimized CrH2Ir2 structure.

a b c (Å): 2.776 2.776 6.469
angles (deg): 77.61 77.61 90.00
Fractional positions:
Cr: 0.000 0.000 0.000
Ir: 0.361 0.361 0.279
Ir: 0.639 0.639 0.721
H: 0.750 0.250 0.500
H: 0.250 0.750 0.500

SG ... I4/mmm
Polymorph energy (0 for the lowest one) ... 0 meV/atom
Crystal system ... tetragonal
Energy ... -6.7020 eV/atom

=====

[2]
DFT (PBE-GGA) results for a geometry-optimized Sr2BiPbO5 structure.

a b c (Å): 3.815 7.590 11.870
angles (deg): 90.00 90.00 101.25
Fractional positions:
Sr: 0.822 0.745 0.736
Sr: 0.261 0.272 0.725
Sr: 0.178 0.255 0.236
Sr: 0.739 0.728 0.225
Bi: 0.913 0.522 0.495
Bi: 0.087 0.478 0.995
Pb: 0.464 0.009 0.981
Pb: 0.536 0.991 0.481
O: 0.258 0.770 0.084
O: 0.732 0.459 0.849
O: 0.390 0.944 0.803
O: 0.293 0.568 0.632
O: 0.963 0.840 0.519
O: 0.742 0.230 0.584
O: 0.268 0.541 0.349
O: 0.610 0.056 0.303
O: 0.707 0.432 0.132
O: 0.037 0.160 0.019

SG ... P2_1
Formation energy from raw total energies ... -1.803 eV/atom
Crystal system ... monoclinic
Energy ... -5.7749 eV/atom

=====

[3]
DFT (PBE-GGA) results for a geometry-optimized I structure.

a b c (Å): 9.207 5.244 9.950
angles (deg): 90.00 105.80 90.00
Fractional positions:
I: 0.297 0.532 0.133
I: 0.703 0.532 0.867
I: 0.297 0.032 0.633
I: 0.703 0.032 0.367
I: 0.797 0.792 0.135
I: 0.203 0.792 0.865
I: 0.797 0.292 0.635
I: 0.203 0.292 0.365

SG ... C2
Polymorph energy (0 for the lowest one) ... 60 meV/atom
Formation energy from raw total energies ... 0.060 eV/atom
Crystal system ... monoclinic
Energy ... -1.4906 eV/atom

=====

[4]
DFT (PBE-GGA) results for a geometry-optimized TiOsAu3 structure.

a b c (Å): 4.978 4.978 4.978
angles (deg): 90.00 90.00 90.00
Fractional positions:
Os: 0.000 0.000 0.000
Au: 0.000 0.500 0.000
Au: 0.000 0.000 0.500
Au: 0.500 0.000 0.000
Ti: 0.500 0.500 0.500

SG ... Pm-3m
Polymorph energy (0 for the lowest one) ... 0 meV/atom
Crystal system ... cubic
Energy ... -4.4395 eV/atom
Energy of formation ... 1.3518 eV/atom

=====

[5]
DFT (PBE-GGA) results for a geometry-optimized Er4B3Rh12Pb structure.

a b c (Å): 7.572 7.572 7.572
angles (deg): 109.47 109.47 109.47
Fractional positions:
Er: 0.500 0.500 0.500
Er: 0.000 0.000 0.500
Er: 0.500 0.000 0.000
Er: 0.000 0.500 0.000
B: 0.500 0.000 0.500
B: 0.500 0.500 0.000
B: 0.000 0.500 0.500
Rh: 0.250 0.500 0.750
Rh: 0.718 0.000 0.718
Rh: 0.282 0.000 0.282
Rh: 0.750 0.500 0.250
Rh: 0.718 0.718 0.000
Rh: 0.282 0.282 0.000
Rh: 0.750 0.250 0.500
Rh: 0.250 0.750 0.500
Rh: 0.500 0.250 0.750
Rh: 0.000 0.718 0.718
Rh: 0.500 0.750 0.250
Rh: 0.000 0.282 0.282
Pb: 0.000 0.000 0.000

SG ... Im-3m
Crystal system ... cubic
Energy ... -7.0005 eV/atom
Energy of formation ... -0.4900 eV/atom

=====

[6]
DFT (PBE-GGA) results for a geometry-optimized Mn2Re3 structure.

a b c (Å): 4.019 4.019 5.173
angles (deg): 90.00 90.00 120.00
Fractional positions:
Mn: 0.667 0.333 0.145
Mn: 0.333 0.667 0.855
Re: 0.000 0.000 0.000
Re: 0.667 0.333 0.632
Re: 0.333 0.667 0.368

SG ... P-3m1
Polymorph energy (0 for the lowest one) ... 311 meV/atom
Crystal system ... trigonal
Energy ... -10.7001 eV/atom
Energy of formation ... 0.4366 eV/atom